(1)
First-principles (PBE) data for a relaxed NbOF3 crystal, as listed in the Alexandria database.

a = 9.0905 Å, b = 9.0905 Å, c = 3.8568 Å
α = 90.00°, β = 90.00°, γ = 90.00°
Closest atoms and distances in Å follow each position.
Positions (direct):
O: 0.6193 0.3807 0.5000  2 Nb 1.94
O: 0.1193 0.1193 0.0000  2 Nb 1.94
O: 0.8807 0.8807 0.0000  2 Nb 1.94
O: 0.3807 0.6193 0.5000  2 Nb 1.94
F: 0.4035 0.4035 0.0000  2 Nb 2.14
F: 0.8409 0.3865 0.0000  1 Nb 1.87
F: 0.8865 0.6591 0.5000  1 Nb 1.87
F: 0.5965 0.5965 0.0000  2 Nb 2.14
F: 0.0965 0.9035 0.5000  2 Nb 2.14
F: 0.1135 0.3409 0.5000  1 Nb 1.87
F: 0.1591 0.6135 0.0000  1 Nb 1.87
F: 0.6135 0.1591 0.0000  1 Nb 1.87
F: 0.9035 0.0965 0.5000  2 Nb 2.14
F: 0.6591 0.8865 0.5000  1 Nb 1.87
F: 0.3409 0.1135 0.5000  1 Nb 1.87
F: 0.3865 0.8409 0.0000  1 Nb 1.87
Nb: 0.3640 0.6360 0.0000  2 F 1.87, 2 O 1.94
Nb: 0.1360 0.1360 0.5000  2 F 1.87, 2 O 1.94
Nb: 0.8640 0.8640 0.5000  2 F 1.87, 2 O 1.94
Nb: 0.6360 0.3640 0.0000  2 F 1.87, 2 O 1.94

Computed properties:
The value obtained for the total magnetization is 0.00 μB per formula unit. The crystal system is tetragonal. The value obtained for the formation energy (no corrections) is -2.87 eV per atom.

(2)
First-principles (PBE) data for a relaxed Cs2DyReO6 crystal, as listed in the Alexandria database.

a = 5.7876 Å, b = 6.7236 Å, c = 6.7236 Å
α = 120.00°, β = 90.00°, γ = 90.00°
Closest atoms and distances in Å follow each position.
Positions (direct):
O: 0.7969 0.1298 0.8702  1 Re 1.92
O: 0.2031 0.8702 0.1298  1 Re 1.92
O: 0.7969 0.1298 0.2597  1 Re 1.92
O: 0.2031 0.8702 0.7403  1 Re 1.92
O: 0.2031 0.2597 0.1298  1 Re 1.92
O: 0.7969 0.7403 0.8702  1 Re 1.92
Re: 0.0000 0.0000 0.0000  6 O 1.92
Cs: 0.1396 0.3333 0.6667  9 O 3.09-3.41
Cs: 0.8604 0.6667 0.3333  9 O 3.09-3.41
Dy: 0.5000 0.0000 0.0000  6 O 2.29

Computed properties:
The value obtained for the total magnetization is 0.00 μB per formula unit. The crystal system is trigonal. The value obtained for the formation energy (no corrections) is -2.06 eV per atom.